1.
Computed, not measured: an optimized crystal structure of CaAcGaAu at the GGA-PBE level of DFT.

Properties
Raw total energy   -3.723 eV/atom
Total moment   0.000 Bohr magnetons per cell
ΔH_f (0 K)   -0.6190 eV/atom
SG   F-43m
Distance to the lowest polymorph of the same formula   0.05 kcal/mol of atoms

Geometry as extended XYZ:
```
4
Lattice="0.000 3.812 3.812 3.812 0.000 3.812 3.812 3.812 0.000" Properties=species:S:1:pos:R:3 pbc="T T T"
Ca 0.000 0.000 0.000
Ac 3.812 3.812 3.812
Ga 1.906 1.906 1.906
Au 5.717 5.717 5.717
```


2.
Computed, not measured: an optimized crystal structure of CaAcGaAu at the GGA-PBE level of DFT.

Properties
Raw total energy   -3.725 eV/atom
Total moment   0.000 Bohr magnetons per cell
ΔH_f (0 K)   -0.6212 eV/atom
SG   Amm2
Distance to the lowest polymorph of the same formula   0.00 kcal/mol of atoms

Geometry as extended XYZ:
```
4
Lattice="4.721 0.000 0.000 0.000 2.169 5.637 0.000 -2.169 5.637" Properties=species:S:1:pos:R:3 pbc="T T T"
Ca 0.000 0.000 0.000
Ac 2.361 0.000 8.110
Ga 0.000 0.000 3.337
Au 2.361 0.000 4.881
```


3.
Computed, not measured: an optimized crystal structure of CaAc2Ge3Au4 at the GGA-PBE level of DFT.

Properties
Raw total energy   -4.360 eV/atom
Total moment   0.000 Bohr magnetons per cell
ΔH_f (0 K)   -0.6423 eV/atom
SG   P-4m2

Geometry as extended XYZ:
```
10
Lattice="4.567 0.000 0.000 0.000 4.567 0.000 0.000 0.000 11.548" Properties=species:S:1:pos:R:3 pbc="T T T"
Ca 0.000 0.000 0.000
Ac 0.000 2.283 8.317
Ac 2.283 0.000 3.231
Ge 0.000 2.283 4.322
Ge 2.283 0.000 7.226
Ge 2.283 2.283 0.000
Au 0.000 0.000 5.774
Au 0.000 2.283 1.759
Au 2.283 0.000 9.789
Au 2.283 2.283 5.774
```


4.
Computed, not measured: an optimized crystal structure of CaAcHgAu at the GGA-PBE level of DFT.

Properties
Raw total energy   -3.066 eV/atom
Total moment   0.000 Bohr magnetons per cell
ΔH_f (0 K)   -0.6441 eV/atom
SG   F-43m

Geometry as extended XYZ:
```
4
Lattice="0.000 3.865 3.865 3.865 0.000 3.865 3.865 3.865 0.000" Properties=species:S:1:pos:R:3 pbc="T T T"
Ca 0.000 0.000 0.000
Ac 3.865 3.865 3.865
Hg 5.797 5.797 5.797
Au 1.932 1.932 1.932
```


| no. | volume (Å³/f.u.) |
| --- | --- |
| 1 | 111 |
| 2 | 115 |
| 3 | 241 |
| 4 | 115 |